Entry 1:
{
  "formula": "Hg4Bi4Pb",
  "functional": "PBE",
  "state": "relaxed",
  "lattice": [[4.6187, 0.0000, 0.0000], [2.2959, 6.6944, 0.0000], [0.0540, 0.6838, 8.8846]],
  "species": ["Hg", "Hg", "Hg", "Hg", "Bi", "Bi", "Bi", "Bi", "Pb"],
  "frac_coords": [[0.0068, 0.4859, 0.3249], [0.1692, 0.1587, 0.9967], [0.8308, 0.8413, 0.0033], [0.9932, 0.5141, 0.6751], [0.3286, 0.8437, 0.6814], [0.3402, 0.8215, 0.3235], [0.6598, 0.1785, 0.6765], [0.6714, 0.1563, 0.3186], [0.5000, 0.5000, 0.0000]],
  "dos_at_fermi_per_ev_cell": 3.81,
  "total_energy_ry_per_atom": -0.164,
  "crystal_system": "triclinic"
}

---

Entry 2:
{
  "formula": "FePBr2",
  "functional": "PBE",
  "state": "relaxed",
  "lattice": [[1.6559, -3.1020, 0.0000], [1.6559, 3.1020, 0.0000], [0.0000, 0.0000, 9.6793]],
  "species": ["Fe", "P", "Br", "Br"],
  "frac_coords": [[0.0000, 0.0000, 0.0000], [0.0000, 0.0000, 0.5000], [0.5000, 0.5000, 0.1892], [0.5000, 0.5000, 0.8108]],
  "dos_at_fermi_per_ev_cell": 2.84,
  "raw_formation_energy_ev_per_atom": 0.598,
  "crystal_system": "orthorhombic"
}

---

Entry 3:
{
  "formula": "Re2IrRu",
  "functional": "PBE",
  "state": "relaxed",
  "lattice": [[0.0000, 2.7581, 3.8327], [2.7529, 0.0000, 3.8327], [2.7529, 2.7581, 0.0000]],
  "species": ["Re", "Re", "Ir", "Ru"],
  "frac_coords": [[0.0000, 0.0000, 0.0000], [0.2500, 0.2500, 0.2500], [0.5000, 0.5000, 0.5000], [0.7500, 0.7500, 0.7500]],
  "dos_at_fermi_per_ev_cell": 3.49,
  "total_energy_ry_per_atom": -0.795,
  "crystal_system": "orthorhombic"
}

---

Entry 4:
{
  "formula": "FeRu2",
  "functional": "PBE",
  "state": "relaxed",
  "lattice": [[4.1777, 0.0000, 0.0000], [-2.0889, 3.6180, 0.0000], [0.0000, 0.0000, 5.2330]],
  "species": ["Fe", "Fe", "Ru", "Ru", "Ru", "Ru"],
  "frac_coords": [[0.3333, 0.6667, 0.2500], [0.6667, 0.3333, 0.7500], [0.0000, 0.0000, 0.0000], [0.0000, 0.0000, 0.5000], [0.3333, 0.6667, 0.7500], [0.6667, 0.3333, 0.2500]],
  "dos_at_fermi_per_ev_cell": 8.26,
  "total_energy_ry_per_atom": -0.648,
  "crystal_system": "hexagonal"
}

---

Entry 5:
{
  "formula": "Ti2P2Pt",
  "functional": "PBE",
  "state": "relaxed",
  "lattice": [[6.5418, 0.0000, 0.0000], [0.0000, 6.5418, 0.0000], [0.0000, 0.0000, 3.3874]],
  "species": ["Ti", "Ti", "Ti", "Ti", "P", "P", "P", "P", "Pt", "Pt"],
  "frac_coords": [[0.1554, 0.3446, 0.0000], [0.3446, 0.8446, 0.0000], [0.6554, 0.1554, 0.0000], [0.8446, 0.6554, 0.0000], [0.1455, 0.6455, 0.5000], [0.3545, 0.1455, 0.5000], [0.6455, 0.8545, 0.5000], [0.8545, 0.3545, 0.5000], [0.0000, 0.0000, 0.5000], [0.5000, 0.5000, 0.5000]],
  "dos_at_fermi_per_ev_cell": 2.29,
  "total_energy_ry_per_atom": -0.546,
  "crystal_system": "tetragonal"
}

---

Entry 6:
{
  "formula": "Ba2NaSrTl",
  "functional": "PBE",
  "state": "relaxed",
  "lattice": [[6.7857, 0.0000, 0.0000], [0.0000, 6.7857, 0.0000], [0.0000, 0.0000, 6.5201]],
  "species": ["Ba", "Ba", "Na", "Sr", "Tl"],
  "frac_coords": [[0.0000, 0.5000, 0.0000], [0.5000, 0.0000, 0.0000], [0.0000, 0.0000, 0.5000], [0.5000, 0.5000, 0.5000], [0.5000, 0.5000, 0.0000]],
  "dos_at_fermi_per_ev_cell": 5.45,
  "total_energy_ry_per_atom": -0.138,
  "crystal_system": "tetragonal"
}

---

Entry 7:
{
  "formula": "CeGa2SiTc2",
  "functional": "PBE",
  "state": "relaxed",
  "lattice": [[4.5005, 0.0000, 0.0000], [0.0000, 4.5005, 0.0000], [0.0000, 0.0000, 5.6222]],
  "species": ["Ce", "Ga", "Ga", "Si", "Tc", "Tc"],
  "frac_coords": [[0.0000, 0.0000, 0.0000], [0.5000, 0.5000, 0.2357], [0.5000, 0.5000, 0.7643], [0.0000, 0.0000, 0.5000], [0.0000, 0.5000, 0.5000], [0.5000, 0.0000, 0.5000]],
  "dos_at_fermi_per_ev_cell": 4.52,
  "raw_formation_energy_ev_per_atom": -0.305,
  "crystal_system": "tetragonal"
}

---

Entry 8:
{
  "formula": "Pm7Dy12Y",
  "functional": "PBE",
  "state": "relaxed",
  "lattice": [[5.9979, 3.4629, 5.4141], [-5.9979, 3.4629, 5.4141], [0.0000, -6.9257, 5.4141]],
  "species": ["Pm", "Pm", "Pm", "Pm", "Pm", "Pm", "Pm", "Dy", "Dy", "Dy", "Dy", "Dy", "Dy", "Dy", "Dy", "Dy", "Dy", "Dy", "Dy", "Y"],
  "frac_coords": [[0.0000, 0.0000, 0.0000], [0.1016, 0.4233, 0.3454], [0.3454, 0.1016, 0.4233], [0.4233, 0.3454, 0.1016], [0.5767, 0.6546, 0.8984], [0.6546, 0.8984, 0.5767], [0.8984, 0.5767, 0.6546], [0.0038, 0.8815, 0.3667], [0.1185, 0.6333, 0.9962], [0.2266, 0.3523, 0.7542], [0.2458, 0.7734, 0.6477], [0.3523, 0.7542, 0.2266], [0.3667, 0.0038, 0.8815], [0.6333, 0.9962, 0.1185], [0.6477, 0.2458, 0.7734], [0.7542, 0.2266, 0.3523], [0.7734, 0.6477, 0.2458], [0.8815, 0.3667, 0.0038], [0.9962, 0.1185, 0.6333], [0.5000, 0.5000, 0.5000]],
  "dos_at_fermi_per_ev_cell": 36.59,
  "total_energy_ry_per_atom": -0.332,
  "crystal_system": "trigonal"
}